Version w
A relaxed Li3CuRu crystal, computed with PBE.

Summary:
Crystal system: cubic
Calculated volume in Å³/f.u.: 75.7
Calculated density in g cm⁻³: 4.1

CIF file:
```
data_Li3CuRu
_chemical_formula_sum 'Li3 Cu1 Ru1'
_space_group_name_H-M_alt 'P m -3 m'
_space_group_IT_number 221
_space_group_name_Hall '-P 4 2 3'
_cell_length_a 4.230
_cell_length_b 4.230
_cell_length_c 4.230
_cell_angle_alpha 90.00
_cell_angle_beta 90.00
_cell_angle_gamma 90.00
loop_
_atom_site_label
_atom_site_type_symbol
_atom_site_fract_x
_atom_site_fract_y
_atom_site_fract_z
Li1 Li 0.000 0.000 0.500
Cu1 Cu 0.000 0.000 0.000
Ru1 Ru 0.500 0.500 0.500
```

Version x
A relaxed Li3CuRu crystal, computed with PBE.

Summary:
Crystal system: cubic
Calculated volume in Å³/f.u.: 98.5
Calculated density in g cm⁻³: 3.1

CIF file:
```
data_Li3CuRu
_chemical_formula_sum 'Li3 Cu1 Ru1'
_space_group_name_H-M_alt 'P m -3 m'
_space_group_IT_number 221
_space_group_name_Hall '-P 4 2 3'
_cell_length_a 4.619
_cell_length_b 4.619
_cell_length_c 4.619
_cell_angle_alpha 90.00
_cell_angle_beta 90.00
_cell_angle_gamma 90.00
loop_
_atom_site_label
_atom_site_type_symbol
_atom_site_fract_x
_atom_site_fract_y
_atom_site_fract_z
Li1 Li 0.000 0.000 0.500
Cu1 Cu 0.500 0.500 0.500
Ru1 Ru 0.000 0.000 0.000
```

It comes down to version w, which is 17.5 kJ/mol of atoms more stable than the next structure.